1.
KBaNpI6: optimized geometry, GGA-PBE.

Energy (eV/cell): -73.8
Formation energy from raw total energies (meV/atom): -1293

Unit cell a=8.548 b=8.548 c=15.078 alpha=90.00 beta=90.00 gamma=120.00
Sites, in units of the cell vectors:
I 0.658 0.627 0.130
I 0.969 0.627 0.370
I 0.627 0.969 0.870
I 0.969 0.342 0.130
I 0.342 0.969 0.630
I 0.658 0.031 0.370
I 0.373 0.342 0.370
I 0.031 0.373 0.630
I 0.342 0.373 0.870
I 0.031 0.658 0.870
I 0.373 0.031 0.130
I 0.627 0.658 0.630
Np 0.667 0.333 0.250
Np 0.333 0.667 0.750
K 0.000 0.000 0.000
K 0.000 0.000 0.500
Ba 0.667 0.333 0.750
Ba 0.333 0.667 0.250


2.
BaLiMnN3: optimized geometry, GGA-PBE.

Energy (eV/cell): -81.2
Formation energy from raw total energies (meV/atom): -436

Unit cell a=5.402 b=5.663 c=5.808 alpha=60.82 beta=89.86 gamma=89.71
Sites, in units of the cell vectors:
N 0.001 0.217 0.998
N 0.999 0.783 0.002
N 0.250 0.778 0.444
N 0.499 0.785 0.998
N 0.501 0.215 0.002
N 0.750 0.222 0.556
Li 0.250 0.564 0.871
Li 0.750 0.436 0.129
Ba 0.750 0.737 0.526
Ba 0.250 0.263 0.474
Mn 0.750 0.057 0.885
Mn 0.250 0.943 0.115


- What is the formula in the second record?
  BaLiMnN3


Please write out number 2 again, unchanged.
BaLiMnN3: optimized geometry, GGA-PBE.

Energy (eV/cell): -81.2
Formation energy from raw total energies (meV/atom): -436

Unit cell a=5.402 b=5.663 c=5.808 alpha=60.82 beta=89.86 gamma=89.71
Sites, in units of the cell vectors:
N 0.001 0.217 0.998
N 0.999 0.783 0.002
N 0.250 0.778 0.444
N 0.499 0.785 0.998
N 0.501 0.215 0.002
N 0.750 0.222 0.556
Li 0.250 0.564 0.871
Li 0.750 0.436 0.129
Ba 0.750 0.737 0.526
Ba 0.250 0.263 0.474
Mn 0.750 0.057 0.885
Mn 0.250 0.943 0.115